# 1
Mn2TlAs, relaxed, DFT PBE-GGA; space group = Pmmm (47)
1.0
-3.010 -2.625 -0.114
1.219 -1.583 4.287
-2.285 2.551 1.592
Mn As Tl
2 1 1
direct
0.000 0.000 0.000
0.500 0.500 0.000
0.000 0.500 0.500
0.500 0.000 0.500



# 2
PmDy5Cd3, relaxed, DFT PBE-GGA; space group = P6_3/mcm (193)
1.0
6.973 0.000 0.000
0.000 9.206 0.000
0.000 -4.603 7.973
Dy Cd Pm
10 6 2
direct
0.250 0.000 0.667
0.750 0.333 0.000
0.250 0.333 0.333
0.000 0.667 0.333
0.000 0.333 0.667
0.750 0.000 0.333
0.500 0.333 0.667
0.750 0.667 0.667
0.250 0.667 0.000
0.500 0.667 0.333
0.250 0.337 0.000
0.750 0.000 0.663
0.750 0.663 0.000
0.250 0.663 0.663
0.750 0.337 0.337
0.250 0.000 0.337
0.500 0.000 0.000
0.000 0.000 0.000



# 3
Sm2DyZr, relaxed, DFT PBE-GGA; space group = P4/mmm (123)
1.0
4.895 0.000 0.000
0.000 4.928 0.000
0.000 0.000 4.928
Dy Zr Sm
1 1 2
direct
0.500 0.500 0.500
0.500 0.000 0.000
0.000 0.000 0.500
0.000 0.500 0.000



# 4
PmSmGdCd, relaxed, DFT PBE-GGA; space group = F-43m (216)
1.0
5.534 0.000 0.000
2.767 4.793 0.000
2.767 1.598 4.519
Pm Gd Cd Sm
1 1 1 1
direct
0.250 0.250 0.250
0.500 0.500 0.500
0.750 0.750 0.750
0.000 0.000 0.000



# 5
LiMnSiP2, relaxed, DFT PBE-GGA; formation energy from raw total energies = 1.10 eV/atom; space group = P4/mmm (123)
1.0
-2.900 0.725 3.353
-2.448 -3.091 -1.450
2.216 -2.955 2.556
P Li Mn Si
2 1 1 1
direct
0.500 0.000 0.000
0.000 0.000 0.500
0.000 0.500 0.000
0.500 0.500 0.500
0.000 0.000 0.000



# 6
Mn2OsPt, relaxed, DFT PBE-GGA; space group = I-42d (122)
1.0
6.748 0.000 0.000
0.000 6.748 0.000
3.374 3.374 2.683
Pt Mn Os
2 4 2
direct
0.000 0.000 0.000
0.750 0.250 0.500
0.139 0.625 0.250
0.375 0.389 0.750
0.875 0.861 0.750
0.611 0.125 0.250
0.500 0.500 0.000
0.250 0.750 0.500



# 7
Be2SnPd2, relaxed, DFT PBE-GGA; space group = I4/mmm (139)
1.0
3.346 0.000 0.000
0.000 3.346 0.000
1.673 1.673 6.484
Be Pd Sn
2 2 1
direct
0.750 0.250 0.500
0.250 0.750 0.500
0.620 0.620 0.760
0.380 0.380 0.240
0.000 0.000 0.000



# 8
CaIn2GeRh2, relaxed, DFT PBE-GGA; space group = P4/mmm (123)
1.0
4.700 0.000 0.000
0.000 4.700 0.000
0.000 0.000 6.010
In Rh Ca Ge
2 2 1 1
direct
0.500 0.500 0.739
0.500 0.500 0.261
0.500 0.000 0.000
0.000 0.500 0.000
0.000 0.000 0.500
0.000 0.000 0.000



# 9
SrLi2Br, relaxed, DFT PBE-GGA; formation energy from raw total energies = -0.53 eV/atom; space group = P2/m (10)
1.0
-6.490 0.387 -1.486
-0.892 -2.247 3.310
-0.355 3.893 2.566
Li Br Sr
2 1 1
direct
0.000 0.516 0.497
0.000 0.984 0.003
0.500 0.750 0.750
0.500 0.250 0.250



# 10
ZrBe3Pd, relaxed, DFT PBE-GGA; space group = Pm-3m (221)
1.0
-4.247 0.680 1.394
-1.550 -1.994 -3.750
0.051 -4.001 2.106
Be Zr Pd
3 1 1
direct
0.500 0.000 0.000
0.000 0.000 0.500
0.000 0.500 0.000
0.000 0.000 0.000
0.500 0.500 0.500



# 11
Sc3GaN, relaxed, DFT PBE-GGA; formation energy from raw total energies = -0.86 eV/atom; space group = R-3 (148)
1.0
-4.930 2.582 3.686
-0.064 0.536 6.653
0.265 5.687 3.485
Ga Sc N
2 6 2
direct
0.622 0.622 0.622
0.378 0.378 0.378
0.840 0.419 0.999
0.419 0.999 0.840
0.581 0.001 0.160
0.001 0.160 0.581
0.999 0.840 0.419
0.160 0.581 0.001
0.165 0.165 0.165
0.835 0.835 0.835



# 12
RbPd2Br6, relaxed, DFT PBE-GGA; formation energy from raw total energies = -0.53 eV/atom; space group = P-31m (162)
1.0
6.863 0.000 0.000
-3.432 5.944 0.000
0.000 0.000 7.742
Br Pd Rb
6 2 1
direct
0.373 0.000 0.691
0.627 0.627 0.691
0.000 0.373 0.691
0.373 0.373 0.309
0.627 0.000 0.309
0.000 0.627 0.309
0.333 0.667 0.500
0.667 0.333 0.500
0.000 0.000 0.000



# 13
ScC2I, relaxed, DFT PBE-GGA; formation energy from raw total energies = 1.99 eV/atom; space group = Fm-3m (225)
1.0
2.513 3.106 1.670
-1.129 1.942 3.702
2.259 -0.754 3.617
Sc I C
1 1 2
direct
0.000 0.000 0.000
0.500 0.500 0.500
0.250 0.250 0.250
0.750 0.750 0.750



# 14
Be2PBr, relaxed, DFT PBE-GGA; formation energy from raw total energies = 0.55 eV/atom; space group = I-4m2 (119)
1.0
7.064 0.027 0.000
5.554 4.364 0.000
-6.309 -2.195 2.296
Be Br P
2 1 1
direct
0.000 0.000 0.000
0.250 0.750 0.500
0.500 0.500 0.000
0.750 0.250 0.500



# 15
Tb2Nd3YSe6, relaxed, DFT PBE-GGA; formation energy from raw total energies = -1.81 eV/atom; space group = C2/m (12)
1.0
-0.935 0.312 -7.108
-3.603 -4.813 3.917
-3.580 6.037 1.941
Se Nd Y Tb
6 3 1 2
direct
0.746 0.746 0.238
0.412 0.079 0.237
0.254 0.254 0.762
0.079 0.412 0.237
0.921 0.588 0.763
0.588 0.921 0.763
0.167 0.833 0.500
0.833 0.167 0.500
0.500 0.500 0.500
0.000 0.000 0.000
0.333 0.667 0.000
0.667 0.333 0.000



# 16
Zn3ReNi, relaxed, DFT PBE-GGA; space group = Pm-3m (221)
1.0
4.363 0.000 0.000
0.000 4.363 0.000
0.000 0.000 4.363
Zn Ni Re
3 1 1
direct
0.500 0.000 0.000
0.000 0.000 0.500
0.000 0.500 0.000
0.000 0.000 0.000
0.500 0.500 0.500



# 17
BaFe2AgBr8, relaxed, DFT PBE-GGA; formation energy from raw total energies = -0.83 eV/atom; space group = P-3m1 (164)
1.0
-1.122 -3.913 -6.562
6.075 -1.632 4.478
-4.832 -5.965 4.383
Br Ba Ag Fe
8 1 1 2
direct
0.163 0.326 0.786
0.667 0.333 0.569
0.837 0.674 0.214
0.163 0.837 0.786
0.674 0.837 0.786
0.333 0.667 0.431
0.326 0.163 0.214
0.837 0.163 0.214
0.000 0.000 0.500
0.000 0.000 0.000
0.667 0.333 0.304
0.333 0.667 0.696



# 18
NaMgCo2B, relaxed, DFT PBE-GGA; space group = P4/mmm (123)
1.0
4.502 0.000 0.000
0.000 4.914 0.000
0.000 0.000 4.502
Co Mg B Na
2 1 1 1
direct
0.500 0.000 0.000
0.000 0.000 0.500
0.000 0.000 0.000
0.500 0.500 0.500
0.000 0.500 0.000



# 19
SrLi2Sb2, relaxed, DFT PBE-GGA; formation energy from raw total energies = -0.74 eV/atom; space group = I4/mmm (139)
1.0
4.654 0.000 0.000
0.000 4.654 0.000
2.327 2.327 5.967
Li Sb Sr
2 2 1
direct
0.250 0.750 0.500
0.750 0.250 0.500
0.622 0.622 0.757
0.378 0.378 0.243
0.000 0.000 0.000



# 20
PmThBiTe, relaxed, DFT PBE-GGA; formation energy from raw total energies = -0.98 eV/atom; space group = P4/mmm (123)
1.0
-1.864 -3.973 1.083
2.100 -1.940 -3.501
5.028 -1.335 3.755
Te Bi Th Pm
1 1 1 1
direct
0.500 0.500 0.500
0.000 0.000 0.000
0.000 0.000 0.500
0.500 0.500 0.000



Number 1: VASP energy -5.956 eV per atom. Number 2: VASP energy -3.567 eV per atom. Number 3: VASP energy -5.533 eV per atom. Number 4: VASP energy -6.136 eV per atom. Number 5: VASP energy -4.365 eV per atom. Number 6: VASP energy -8.375 eV per atom. Number 7: VASP energy -4.667 eV per atom. Number 8: VASP energy -4.855 eV per atom. Number 9: VASP energy -2.330 eV per atom. Number 10: VASP energy -3.246 eV per atom. Number 11: VASP energy -6.930 eV per atom. Number 12: VASP energy -2.909 eV per atom. Number 13: VASP energy -4.592 eV per atom. Number 14: VASP energy -3.086 eV per atom. Number 15: VASP energy -6.054 eV per atom. Number 16: VASP energy -3.403 eV per atom. Number 17: VASP energy -3.749 eV per atom. Number 18: VASP energy -2.704 eV per atom. Number 19: VASP energy -3.486 eV per atom. Number 20: VASP energy -5.777 eV per atom.